[1]
Compound: ErCdAg
Source: the Alexandria database
Functional: GGA-PBE
Structure: optimized geometry

Cell and atoms, written as CIF:
```
data_ErCdAg
_chemical_formula_sum 'Er2 Cd2 Ag2'
_cell_length_a 3.7615
_cell_length_b 3.7615
_cell_length_c 9.6007
_cell_angle_alpha 90.00
_cell_angle_beta 90.00
_cell_angle_gamma 90.00
_symmetry_space_group_name_H-M 'I 4 m m'
_symmetry_Int_Tables_number 107
_symmetry_space_group_name_Hall 'I 4 -2'
loop_
_atom_site_label
_atom_site_type_symbol
_atom_site_fract_x
_atom_site_fract_y
_atom_site_fract_z
_atom_site_occupancy
Er1 Er 0.0000 0.0000 0.0000 1
Cd1 Cd 0.0000 0.0000 0.6764 1
Ag1 Ag 0.0000 0.0000 0.3308 1
```

Its calculated total energy is -3.023 eV per atom. The total moment comes out at 0.00 Bohr magnetons per cell. The formation energy is -0.25 eV per atom.

---

[2]
Compound: ErCd6Ag6
Source: the Alexandria database
Functional: GGA-PBE
Structure: optimized geometry

Cell and atoms, written as CIF:
```
data_ErCd6Ag6
_chemical_formula_sum 'Er2 Cd12 Ag12'
_cell_length_a 5.5963
_cell_length_b 9.7334
_cell_length_c 9.9110
_cell_angle_alpha 90.00
_cell_angle_beta 90.00
_cell_angle_gamma 90.00
_symmetry_space_group_name_H-M 'I m m m'
_symmetry_Int_Tables_number 71
_symmetry_space_group_name_Hall '-I 2 2'
loop_
_atom_site_label
_atom_site_type_symbol
_atom_site_fract_x
_atom_site_fract_y
_atom_site_fract_z
_atom_site_occupancy
Er1 Er 0.0000 0.0000 0.0000 1
Cd1 Cd 0.0000 0.0000 0.3445 1
Cd2 Cd 0.0000 0.3438 0.0000 1
Cd3 Cd 0.0000 0.5000 0.3101 1
Ag1 Ag 0.0000 0.2759 0.5000 1
Ag2 Ag 0.2500 0.2500 0.2500 1
```

The energy above the most stable polymorph in this dataset comes out at 6 meV per atom. Its calculated total energy is -2.182 eV per atom. The total moment comes out at 0.00 Bohr magnetons per cell. The formation energy is -0.09 eV per atom.

---

[3]
Compound: ErCdAg6
Source: the Alexandria database
Functional: GGA-PBE
Structure: optimized geometry

Cell and atoms, written as CIF:
```
data_ErCdAg6
_chemical_formula_sum 'Er2 Cd2 Ag12'
_cell_length_a 8.4283
_cell_length_b 5.7938
_cell_length_c 7.3716
_cell_angle_alpha 90.00
_cell_angle_beta 105.64
_cell_angle_gamma 90.00
_symmetry_space_group_name_H-M 'C 1 2/m 1'
_symmetry_Int_Tables_number 12
loop_
_symmetry_equiv_pos_as_xyz
'x,y,z'
'-x,-y,-z'
'-x,y,-z'
'x,-y,z'
'x+1/2,y+1/2,z'
'-x+1/2,-y+1/2,-z'
'-x+1/2,y+1/2,-z'
'x+1/2,-y+1/2,z'
loop_
_atom_site_label
_atom_site_type_symbol
_atom_site_fract_x
_atom_site_fract_y
_atom_site_fract_z
_atom_site_occupancy
Er1 Er 0.0000 0.0000 0.0000 1
Cd1 Cd 0.0000 0.5000 0.5000 1
Ag1 Ag 0.1314 0.5000 0.9269 1
Ag2 Ag 0.2191 0.2653 0.3022 1
```

The energy above the most stable polymorph in this dataset comes out at 0 meV per atom. Its calculated total energy is -2.800 eV per atom. The total moment comes out at 0.00 Bohr magnetons per cell. The formation energy is 0.02 eV per atom.